Arrangement 1

# CoBMo3

A relaxed structure of CoBMo3 (PBE, Alexandria via LeMat-Bulk).

Geometry as POSCAR:
```
CoBMo3
1.0
-3.1946 0.8297 2.4790
-0.7021 -4.0429 0.4483
2.5181 -0.0747 3.2700
Mo Co B
3 1 1
direct
0.0000 0.0000 0.5000
0.5000 0.0000 0.0000
0.0000 0.5000 0.0000
0.5000 0.5000 0.5000
0.0000 0.0000 0.0000
```

## Properties
- Space group: Pm-3m

***

Arrangement 2

# CoBMo3

A relaxed structure of CoBMo3 (PBE, Alexandria via LeMat-Bulk).

Geometry as POSCAR:
```
CoBMo3
1.0
4.3839 0.0000 0.0000
0.0000 4.3839 0.0000
0.0000 0.0000 4.3839
Mo Co B
3 1 1
direct
0.5000 0.0000 0.0000
0.0000 0.5000 0.0000
0.0000 0.0000 0.5000
0.0000 0.0000 0.0000
0.5000 0.5000 0.5000
```

## Properties
- Space group: Pm-3m

***

On energetic grounds, arrangement 1 is preferred over the next structure by 1498 meV/atom.

***

Arrangement 1

# CoB3Mo

A relaxed structure of CoB3Mo (PBE, Alexandria via LeMat-Bulk).

Geometry as POSCAR:
```
CoB3Mo
1.0
3.0494 0.0000 0.0000
0.0000 3.1207 0.0000
0.0000 -1.5604 8.8881
B Mo Co
6 2 2
direct
0.7500 0.5259 0.0518
0.2500 0.3712 0.7423
0.2500 0.4741 0.9482
0.7500 0.3182 0.6364
0.7500 0.6288 0.2577
0.2500 0.6818 0.3636
0.2500 0.0743 0.1487
0.7500 0.9257 0.8513
0.2500 0.7952 0.5904
0.7500 0.2048 0.4096
```

## Properties
- Space group: Cmcm

***

Arrangement 2

# CoB3Mo

A relaxed structure of CoB3Mo (PBE, Alexandria via LeMat-Bulk).

Geometry as POSCAR:
```
CoB3Mo
1.0
3.6791 0.0000 0.0000
0.0000 3.6791 0.0000
0.0000 0.0000 3.6791
B Mo Co
3 1 1
direct
0.5000 0.0000 0.0000
0.0000 0.5000 0.0000
0.0000 0.0000 0.5000
0.5000 0.5000 0.5000
0.0000 0.0000 0.0000
```

## Properties
- Space group: Pm-3m

***

On energetic grounds, arrangement 1 is preferred over the next structure by 1223 meV/atom.

***

Arrangement 1

# CoB3N

A relaxed structure of CoB3N (PBE, Alexandria via LeMat-Bulk).

Geometry as POSCAR:
```
CoB3N
1.0
3.3068 0.0000 0.0000
0.0000 3.3068 0.0000
0.0000 0.0000 3.3068
B N Co
3 1 1
direct
0.5000 0.0000 0.0000
0.0000 0.0000 0.5000
0.0000 0.5000 0.0000
0.0000 0.0000 0.0000
0.5000 0.5000 0.5000
```

## Properties
- Space group: Pm-3m

***

Arrangement 2

# CoB3N

A relaxed structure of CoB3N (PBE, Alexandria via LeMat-Bulk).

Geometry as POSCAR:
```
CoB3N
1.0
3.7656 0.0000 0.0000
0.0000 3.7656 0.0000
0.0000 0.0000 3.7656
B Co N
3 1 1
direct
0.5000 0.0000 0.0000
0.0000 0.0000 0.5000
0.0000 0.5000 0.0000
0.0000 0.0000 0.0000
0.5000 0.5000 0.5000
```

## Properties
- Space group: Pm-3m

***

On energetic grounds, arrangement 1 is preferred over the next structure by 337 meV/atom.

***

Arrangement 1

# Co2BN

A relaxed structure of Co2BN (PBE, Alexandria via LeMat-Bulk).

Geometry as POSCAR:
```
Co2BN
1.0
-0.0689 3.3627 2.7633
-1.5574 -2.5997 3.1248
3.1759 -0.5403 4.1653
B Co N
2 4 2
direct
0.5000 0.5000 0.0000
0.2500 0.7500 0.5000
0.1022 0.6250 0.2500
0.3750 0.3522 0.7500
0.6478 0.1250 0.2500
0.8750 0.8978 0.7500
0.0000 0.0000 0.0000
0.7500 0.2500 0.5000
```

## Properties
- Space group: I-42d

***

Arrangement 2

# Co2BN

A relaxed structure of Co2BN (PBE, Alexandria via LeMat-Bulk).

Geometry as POSCAR:
```
Co2BN
1.0
0.0000 2.5268 2.5268
2.5268 0.0000 2.5268
2.5268 2.5268 0.0000
B Co N
1 2 1
direct
0.0000 0.0000 0.0000
0.2500 0.2500 0.2500
0.7500 0.7500 0.7500
0.5000 0.5000 0.5000
```

## Properties
- Space group: Fm-3m

***

On energetic grounds, arrangement 1 is preferred over the next structure by 462 meV/atom.

***

Arrangement 1

# CoBSe2N

A relaxed structure of CoBSe2N (PBE, Alexandria via LeMat-Bulk).

Geometry as POSCAR:
```
CoBSe2N
1.0
-1.2170 -2.8957 4.2101
4.2325 -2.9959 -0.8371
1.4671 1.6392 1.5515
Co Se N B
1 2 1 1
direct
0.5000 0.5000 0.5000
0.5000 0.0000 0.0000
0.0000 0.5000 0.0000
0.0000 0.0000 0.5000
0.0000 0.0000 0.0000
```

## Properties
- Space group: P4/mmm

***

Arrangement 2

# CoBSe2N

A relaxed structure of CoBSe2N (PBE, Alexandria via LeMat-Bulk).

Geometry as POSCAR:
```
CoBSe2N
1.0
-4.7114 -0.6374 -1.1279
-0.6805 -2.4026 4.2001
-0.7515 2.8677 1.5187
Co N B Se
1 1 1 2
direct
0.0000 0.0000 0.0000
0.0000 0.0000 0.5000
0.5000 0.5000 0.5000
0.0000 0.5000 0.0000
0.5000 0.0000 0.0000
```

## Properties
- Space group: P4/mmm

***

On energetic grounds, arrangement 1 is preferred over the next structure by 661 meV/atom.

***

Arrangement 1

# CoBSeN2

A relaxed structure of CoBSeN2 (PBE, Alexandria via LeMat-Bulk).

Geometry as POSCAR:
```
CoBSeN2
1.0
-1.8529 -1.9356 2.0718
2.7334 -0.5620 1.9196
-1.8569 6.7108 4.6089
Se N B Co
1 2 1 1
direct
0.0000 0.0000 0.5000
0.5000 0.0000 0.0000
0.0000 0.5000 0.0000
0.5000 0.5000 0.5000
0.0000 0.0000 0.0000
```

## Properties
- Space group: P4/mmm

***

Arrangement 2

# CoBSeN2

A relaxed structure of CoBSeN2 (PBE, Alexandria via LeMat-Bulk).

Geometry as POSCAR:
```
CoBSeN2
1.0
3.1404 0.0000 0.0000
0.0000 3.1404 0.0000
0.0000 0.0000 7.9228
Se B N Co
1 1 2 1
direct
0.0000 0.0000 0.5000
0.0000 0.0000 0.0000
0.5000 0.0000 0.0000
0.0000 0.5000 0.0000
0.5000 0.5000 0.5000
```

## Properties
- Space group: P4/mmm

***

On energetic grounds, arrangement 2 is preferred over the next structure by 347 meV/atom.

***

Arrangement 1

# CoBTeN2

A relaxed structure of CoBTeN2 (PBE, Alexandria via LeMat-Bulk).

Geometry as POSCAR:
```
CoBTeN2
1.0
3.4459 0.0000 0.0000
0.0000 3.4459 0.0000
0.0000 0.0000 7.8388
B Te N Co
1 1 2 1
direct
0.5000 0.5000 0.5000
0.0000 0.0000 0.5000
0.0000 0.5000 0.0000
0.5000 0.0000 0.0000
0.0000 0.0000 0.0000
```

## Properties
- Space group: P4/mmm

***

Arrangement 2

# CoBTeN2

A relaxed structure of CoBTeN2 (PBE, Alexandria via LeMat-Bulk).

Geometry as POSCAR:
```
CoBTeN2
1.0
-1.8425 -2.1441 1.6446
2.1699 -2.3602 -0.6460
3.7864 1.7100 6.4711
N Co Te B
2 1 1 1
direct
0.0000 0.5000 0.0000
0.5000 0.0000 0.0000
0.5000 0.5000 0.5000
0.0000 0.0000 0.5000
0.0000 0.0000 0.0000
```

## Properties
- Space group: P4/mmm

***

On energetic grounds, arrangement 2 is preferred over the next structure by 46 meV/atom.

***

Arrangement 1

# NaCo2B

A relaxed structure of NaCo2B (PBE, Alexandria via LeMat-Bulk).

Geometry as POSCAR:
```
NaCo2B
1.0
-2.3198 -3.1884 -2.2655
-0.2545 -2.5054 3.7866
-6.8092 0.0655 2.3163
Co Na B
4 2 2
direct
0.3634 0.1250 0.2500
0.3750 0.6366 0.7500
0.3866 0.6250 0.2500
0.8750 0.6134 0.7500
0.0000 0.0000 0.0000
0.7500 0.2500 0.5000
0.2500 0.7500 0.5000
0.5000 0.5000 0.0000
```

## Properties
- Space group: I-42d

***

Arrangement 2

# NaCo2B

A relaxed structure of NaCo2B (PBE, Alexandria via LeMat-Bulk).

Geometry as POSCAR:
```
NaCo2B
1.0
0.0000 2.7513 2.7513
2.7513 0.0000 2.7513
2.7513 2.7513 0.0000
Co B Na
2 1 1
direct
0.7500 0.7500 0.7500
0.2500 0.2500 0.2500
0.0000 0.0000 0.0000
0.5000 0.5000 0.5000
```

## Properties
- Space group: Fm-3m

***

On energetic grounds, arrangement 1 is preferred over the next structure by 170 meV/atom.

***

Arrangement 1

# NaCo2B2

A relaxed structure of NaCo2B2 (PBE, Alexandria via LeMat-Bulk).

Geometry as POSCAR:
```
NaCo2B2
1.0
-0.1839 -6.1412 -0.7983
5.3229 0.2514 -3.1605
1.2608 -0.3106 2.0988
B Co Na
4 4 2
direct
0.3779 0.8779 0.0000
0.1221 0.3779 0.0000
0.8779 0.6221 0.0000
0.6221 0.1221 0.0000
0.1514 0.6514 0.5000
0.3486 0.1514 0.5000
0.6514 0.8486 0.5000
0.8486 0.3486 0.5000
0.0000 0.0000 0.0000
0.5000 0.5000 0.0000
```

## Properties
- Space group: P4/mbm

***

Arrangement 2

# NaCo2B2

A relaxed structure of NaCo2B2 (PBE, Alexandria via LeMat-Bulk).

Geometry as POSCAR:
```
NaCo2B2
1.0
3.6016 0.0000 0.0000
0.0000 3.6016 0.0000
1.8008 1.8008 5.0091
Co Na B
2 1 2
direct
0.2500 0.7500 0.5000
0.7500 0.2500 0.5000
0.0000 0.0000 0.0000
0.3199 0.3199 0.3602
0.6801 0.6801 0.6398
```

## Properties
- Space group: I4/mmm

***

On energetic grounds, arrangement 2 is preferred over the next structure by 258 meV/atom.

***

Arrangement 1

# Na2CoB

A relaxed structure of Na2CoB (PBE, Alexandria via LeMat-Bulk).

Geometry as POSCAR:
```
Na2CoB
1.0
-0.6780 0.8511 -10.2003
7.2664 -7.1598 -1.0804
1.9817 -4.4829 -5.6639
Na Co B
4 2 2
direct
0.3211 0.6250 0.2500
0.3750 0.5711 0.7500
0.8750 0.6789 0.7500
0.4289 0.1250 0.2500
0.0000 0.0000 0.0000
0.7500 0.2500 0.5000
0.5000 0.5000 0.0000
0.2500 0.7500 0.5000
```

## Properties
- Space group: I-42d

***

Arrangement 2

# Na2CoB

A relaxed structure of Na2CoB (PBE, Alexandria via LeMat-Bulk).

Geometry as POSCAR:
```
Na2CoB
1.0
0.0000 3.2205 3.2205
3.2205 0.0000 3.2205
3.2205 3.2205 0.0000
Na B Co
2 1 1
direct
0.2500 0.2500 0.2500
0.7500 0.7500 0.7500
0.0000 0.0000 0.0000
0.5000 0.5000 0.5000
```

## Properties
- Space group: Fm-3m

***

On energetic grounds, arrangement 1 is preferred over the next structure by 736 meV/atom.

***

Arrangement 1

# Na3CoB

A relaxed structure of Na3CoB (PBE, Alexandria via LeMat-Bulk).

Geometry as POSCAR:
```
Na3CoB
1.0
-3.3974 2.4414 3.1083
2.2500 -2.1751 4.1678
3.2495 4.0587 0.3639
Na Co B
3 1 1
direct
0.5000 0.0000 0.0000
0.0000 0.5000 0.0000
0.0000 0.0000 0.5000
0.0000 0.0000 0.0000
0.5000 0.5000 0.5000
```

## Properties
- Space group: Pm-3m

***

Arrangement 2

# Na3CoB

A relaxed structure of Na3CoB (PBE, Alexandria via LeMat-Bulk).

Geometry as POSCAR:
```
Na3CoB
1.0
-4.5769 0.2351 -2.1065
1.9886 -1.2582 -4.4612
-0.7334 -4.8787 1.0490
B Na Co
1 3 1
direct
0.0000 0.0000 0.0000
0.5000 0.0000 0.0000
0.0000 0.5000 0.0000
0.0000 0.0000 0.5000
0.5000 0.5000 0.5000
```

## Properties
- Space group: Pm-3m

***

On energetic grounds, arrangement 2 is preferred over the next structure by 340 meV/atom.

***

Arrangement 1

# Na2CoB2

A relaxed structure of Na2CoB2 (PBE, Alexandria via LeMat-Bulk).

Geometry as POSCAR:
```
Na2CoB2
1.0
5.3210 0.0000 0.0000
0.0000 5.3210 0.0000
0.0000 0.0000 4.5956
B Na Co
4 4 2
direct
0.6116 0.1116 0.0000
0.8884 0.6116 0.0000
0.3884 0.8884 0.0000
0.1116 0.3884 0.0000
0.1868 0.6868 0.5000
0.6868 0.8132 0.5000
0.8132 0.3132 0.5000
0.3132 0.1868 0.5000
0.0000 0.0000 0.0000
0.5000 0.5000 0.0000
```

## Properties
- Space group: P4/mbm

***

Arrangement 2

# Na2CoB2

A relaxed structure of Na2CoB2 (PBE, Alexandria via LeMat-Bulk).

Geometry as POSCAR:
```
Na2CoB2
1.0
-1.4426 -0.7492 2.9888
3.0387 -0.8925 1.2429
1.6459 4.4891 3.8560
Na B Co
2 2 1
direct
0.2500 0.7500 0.5000
0.7500 0.2500 0.5000
0.4297 0.4297 0.1407
0.5703 0.5703 0.8593
0.0000 0.0000 0.0000
```

## Properties
- Space group: I4/mmm

***

On energetic grounds, arrangement 1 is preferred over the next structure by 354 meV/atom.